Entry 1:
The following is a PBE calculation of a relaxed structure of Hg2AsBr, from Alexandria via LeMat-Bulk.

Summary:
Space group   P4mm
Energy above the lowest structure with this stoichiometry   1.89 eV per formula unit

Cell lengths 3.606, 3.606, 8.297 Å; angles 90.00, 90.00, 90.00 degrees
Fractional positions:
Hg  0.000  0.000  0.000
Hg  0.500  0.500  0.303
As  0.000  0.000  0.469
Br  0.500  0.500  0.693



Entry 2:
The following is a PBE calculation of a relaxed structure of Hg4AsIBr, from Alexandria via LeMat-Bulk.

Summary:
Space group   P2_1/m

Cell lengths 7.416, 7.188, 8.576 Å; angles 90.00, 95.17, 90.00 degrees
Fractional positions:
Hg  0.054  0.056  0.328
Hg  0.054  0.444  0.328
Hg  0.281  0.250  0.089
Hg  0.382  0.250  0.653
Hg  0.618  0.750  0.347
Hg  0.719  0.750  0.911
Hg  0.946  0.556  0.672
Hg  0.946  0.944  0.672
As  0.096  0.250  0.794
As  0.904  0.750  0.206
I  0.330  0.750  0.021
I  0.670  0.250  0.979
Br  0.369  0.750  0.539
Br  0.631  0.250  0.461



Entry 3:
The following is a PBE calculation of a relaxed structure of Hg4As2I2Br, from Alexandria via LeMat-Bulk.

Summary:
Space group   C2/m

Cell lengths 8.680, 8.680, 11.986 Å; angles 130.04, 130.04, 27.12 degrees
Fractional positions:
Hg  0.032  0.032  0.243
Hg  0.248  0.248  0.751
Hg  0.752  0.752  0.249
Hg  0.968  0.968  0.757
As  0.236  0.236  0.420
As  0.764  0.764  0.580
I  0.389  0.389  0.209
I  0.611  0.611  0.791
Br  0.500  0.500  0.000



Entry 4:
The following is a PBE calculation of a relaxed structure of HgAs2IBr, from Alexandria via LeMat-Bulk.

Summary:
Space group   P4/mmm
Energy above the lowest structure with this stoichiometry   0.00 eV per formula unit

Cell lengths 5.382, 5.382, 5.399 Å; angles 90.00, 90.00, 90.00 degrees
Fractional positions:
Hg  0.000  0.000  0.000
As  0.000  0.500  0.000
As  0.500  0.000  0.000
I  0.500  0.500  0.500
Br  0.000  0.000  0.500



Entry 5:
The following is a PBE calculation of a relaxed structure of Hg6As2I2Br, from Alexandria via LeMat-Bulk.

Summary:
Space group   P-1

Cell lengths 6.354, 8.491, 8.898 Å; angles 69.73, 72.71, 72.09 degrees
Fractional positions:
Hg  0.002  0.467  0.358
Hg  0.136  0.125  0.127
Hg  0.479  0.346  0.470
Hg  0.521  0.654  0.530
Hg  0.864  0.875  0.873
Hg  0.998  0.533  0.642
As  0.125  0.580  0.879
As  0.875  0.420  0.121
I  0.336  0.788  0.131
I  0.664  0.212  0.869
Br  0.500  0.000  0.500



Entry 6:
The following is a PBE calculation of a relaxed structure of Hg4As2IBr2, from Alexandria via LeMat-Bulk.

Summary:
Space group   C2/m

Cell lengths 8.270, 8.270, 11.463 Å; angles 114.98, 114.98, 26.81 degrees
Fractional positions:
Hg  0.058  0.058  0.364
Hg  0.316  0.316  0.991
Hg  0.684  0.684  0.009
Hg  0.942  0.942  0.636
As  0.231  0.231  0.418
As  0.769  0.769  0.582
I  0.500  0.500  0.000
Br  0.422  0.422  0.318
Br  0.578  0.578  0.682



Entry 7:
The following is a PBE calculation of a relaxed structure of Hg6As2IBr2, from Alexandria via LeMat-Bulk.

Summary:
Space group   P-1

Cell lengths 6.764, 8.391, 8.833 Å; angles 100.57, 112.46, 100.52 degrees
Fractional positions:
Hg  0.131  0.366  0.183
Hg  0.238  0.899  0.646
Hg  0.319  0.017  0.367
Hg  0.681  0.983  0.633
Hg  0.762  0.101  0.354
Hg  0.869  0.634  0.817
As  0.033  0.945  0.863
As  0.967  0.055  0.137
I  0.000  0.500  0.500
Br  0.335  0.647  0.168
Br  0.665  0.353  0.832



Entry 8:
The following is a PBE calculation of a relaxed structure of HgAsIrBr2, from Alexandria via LeMat-Bulk.

Summary:
Space group   P4/mmm
Energy above the lowest structure with this stoichiometry   0.00 eV per formula unit

Cell lengths 5.359, 5.359, 4.651 Å; angles 90.00, 90.00, 90.00 degrees
Fractional positions:
Hg  0.000  0.000  0.000
As  0.500  0.500  0.000
Ir  0.500  0.500  0.500
Br  0.000  0.500  0.500
Br  0.500  0.000  0.500



Entry 9:
The following is a PBE calculation of a relaxed structure of HgAs2IrBr, from Alexandria via LeMat-Bulk.

Summary:
Space group   P4/mmm
Energy above the lowest structure with this stoichiometry   0.00 eV per formula unit

Cell lengths 4.804, 4.804, 5.513 Å; angles 90.00, 90.00, 90.00 degrees
Fractional positions:
Hg  0.000  0.000  0.000
As  0.000  0.500  0.500
As  0.500  0.000  0.500
Ir  0.500  0.500  0.500
Br  0.500  0.500  0.000



Entry 10:
The following is a PBE calculation of a relaxed structure of La4HgAsBr2, from Alexandria via LeMat-Bulk.

Summary:
Space group   P2/m

Cell lengths 7.533, 4.413, 7.821 Å; angles 90.00, 109.55, 90.00 degrees
Fractional positions:
La  0.233  0.000  0.232
La  0.243  0.500  0.759
La  0.757  0.500  0.241
La  0.767  0.000  0.768
Hg  0.000  0.000  0.500
As  0.000  0.500  0.000
Br  0.500  0.000  0.000
Br  0.500  0.500  0.500



Entry 11:
The following is a PBE calculation of a relaxed structure of LaHgAs2Br, from Alexandria via LeMat-Bulk.

Summary:
Space group   P4/mmm
Energy above the lowest structure with this stoichiometry   0.00 eV per formula unit

Cell lengths 5.109, 5.109, 5.673 Å; angles 90.00, 90.00, 90.00 degrees
Fractional positions:
La  0.000  0.000  0.000
Hg  0.500  0.500  0.500
As  0.000  0.500  0.500
As  0.500  0.000  0.500
Br  0.500  0.500  0.000



Entry 12:
The following is a PBE calculation of a relaxed structure of LaHgAsBr2, from Alexandria via LeMat-Bulk.

Summary:
Space group   P4/mmm
Energy above the lowest structure with this stoichiometry   0.00 eV per formula unit

Cell lengths 5.885, 5.885, 6.199 Å; angles 90.00, 90.00, 90.00 degrees
Fractional positions:
La  0.000  0.000  0.000
Hg  0.500  0.500  0.500
As  0.000  0.000  0.500
Br  0.000  0.500  0.000
Br  0.500  0.000  0.000



Formation energy (no corrections) per entry: 1.1 -0.6 -0.8 3.6 -1.0 -1.3 -1.4 1.2 2.0 -9.5 -0.6 -3.8 eV per formula unit
E_tot per entry: -1.466 -1.389 -1.784 -1.852 -1.531 -1.854 -1.586 -3.184 -3.635 -4.687 -3.355 -3.408 eV per atom